Entry from Alexandria via LeMat-Bulk: crystalline CaMg2Ir at its relaxed geometry (PBE).

Cell: 5.7846 10.1608 3.1590 Å, 90.00 117.80 90.00°
Space group C2/m (No. 12)
Unique sites:
Ca: 0.0000 0.0000 0.0000 x2
Mg: 0.2500 0.2500 0.5000 x4
Ir: 0.0000 0.5000 0.0000 x2

Values from the calculation:
ΔE_f   0.07 eV per atom
Fermi-level density of states   0.651 states/eV/atom
Calculated volume   20.53 Å³/atom

---

Entry from Alexandria via LeMat-Bulk: crystalline Li2AlSBr at its relaxed geometry (PBE).

Cell: 5.6051 5.6051 4.4256 Å, 90.00 90.00 90.00°
Space group P4/mmm (No. 123)
Unique sites:
Li: 0.0000 0.5000 0.0000 x2
Al: 0.0000 0.0000 0.0000 x1
S: 0.0000 0.0000 0.5000 x1
Br: 0.5000 0.5000 0.5000 x1

Values from the calculation:
Formation energy from raw total energies   -254 meV per atom
Fermi-level density of states   0.403 states/eV/atom
Calculated volume   27.81 Å³/atom

---

Entry from Alexandria via LeMat-Bulk: crystalline Y6Er2S3 at its relaxed geometry (PBE).

Cell: 3.7518 3.7518 73.1495 Å, 90.00 90.00 120.00°
Space group R-3m (No. 166, hexagonal axes)
Unique sites:
Y: 0.0000 0.0000 0.0690 x6
Y: 0.0000 0.0000 0.1860 x6
Y: 0.0000 0.0000 0.3570 x6
Er: 0.0000 0.0000 0.4418 x6
S: 0.0000 0.0000 0.0000 x3
S: 0.0000 0.0000 0.2874 x6

Values from the calculation:
Formation energy from raw total energies   -1042 meV per atom
Fermi-level density of states   0.980 states/eV/atom
Calculated volume   27.02 Å³/atom

---

Entry from Alexandria via LeMat-Bulk: crystalline PmYCdCo at its relaxed geometry (PBE).

Cell: 7.2289 7.2289 7.2289 Å, 90.00 90.00 90.00°
Space group F-43m (No. 216)
Unique sites:
Pm: 0.0000 0.0000 0.0000 x4
Y: 0.0000 0.0000 0.5000 x4
Cd: 0.2500 0.2500 0.7500 x4
Co: 0.2500 0.2500 0.2500 x4

Values from the calculation:
ΔE_f   -0.10 eV per atom
Fermi-level density of states   0.681 states/eV/atom
Calculated volume   23.61 Å³/atom

---

Entry from Alexandria via LeMat-Bulk: crystalline V2NiIr at its relaxed geometry (PBE).

Cell: 3.7450 3.7450 7.3870 Å, 90.00 90.00 90.00°
Space group I4/mmm (No. 139)
Unique sites:
V: 0.0000 0.5000 0.2500 x4
Ni: 0.0000 0.0000 0.0000 x2
Ir: 0.0000 0.0000 0.5000 x2

Values from the calculation:
ΔE_f   -0.38 eV per atom
Fermi-level density of states   1.139 states/eV/atom
Calculated volume   12.95 Å³/atom

---

Entry from Alexandria via LeMat-Bulk: crystalline Mg3PbBr at its relaxed geometry (PBE).

Cell: 5.5944 5.5944 5.5944 Å, 90.00 90.00 90.00°
Space group Pm-3m (No. 221)
Unique sites:
Mg: 0.0000 0.0000 0.5000 x3
Pb: 0.0000 0.0000 0.0000 x1
Br: 0.5000 0.5000 0.5000 x1

Values from the calculation:
Formation energy from raw total energies   20 meV per atom
Fermi-level density of states   0.580 states/eV/atom
Calculated volume   35.02 Å³/atom

---

Which value of Fermi-level density of states does entry 3 give?
0.980 states/eV/atom